Entry 1
Here is an optimized crystal structure of AlPW2 from the Alexandria database. Energies are from GGA-PBE.

space group	Pmmm, No. 47

Cell lengths 3.020, 2.901, 6.782 Å; angles 90.00, 90.00, 90.00 degrees
Fractional coordinates of all 4 atoms:
P (0.500, 0.500, 0.750)
Al (0.500, 0.500, 0.250)
W (0.000, 0.000, 0.963)
W (0.000, 0.000, 0.537)

***

Entry 2
Here is an optimized crystal structure of AlPW2 from the Alexandria database. Energies are from GGA-PBE.

space group	Pm, No. 6

Cell lengths 4.506, 2.958, 4.886 Å; angles 72.30, 90.00, 90.00 degrees
Fractional coordinates of all 4 atoms:
P (0.500, 0.928, 0.774)
Al (0.000, 0.550, 0.522)
W (0.000, 0.814, 0.989)
W (0.500, 0.208, 0.215)

***

Which structure is most stable, and how do the rest compare? From most to least stable: entry 1, entry 2.

***

Entry 1
Here is an optimized crystal structure of Al3PW from the Alexandria database. Energies are from GGA-PBE.

space group	Pm-3m, No. 221

Cell lengths 4.503, 4.503, 4.503 Å; angles 90.00, 90.00, 90.00 degrees
Fractional coordinates of all 5 atoms:
P (0.000, 0.000, 0.000)
Al (0.000, 0.500, 0.000)
Al (0.000, 0.000, 0.500)
Al (0.500, 0.000, 0.000)
W (0.500, 0.500, 0.500)

***

Entry 2
Here is an optimized crystal structure of Al3PW from the Alexandria database. Energies are from GGA-PBE.

space group	Pm-3m, No. 221

Cell lengths 4.865, 4.865, 4.865 Å; angles 90.00, 90.00, 90.00 degrees
Fractional coordinates of all 5 atoms:
P (0.500, 0.500, 0.500)
Al (0.000, 0.500, 0.000)
Al (0.000, 0.000, 0.500)
Al (0.500, 0.000, 0.000)
W (0.000, 0.000, 0.000)

***

Which structure is most stable, and how do the rest compare? From most to least stable: entry 1, entry 2.

***

Entry 1
Here is an optimized crystal structure of YAl3P from the Alexandria database. Energies are from GGA-PBE.

space group	Pm-3m, No. 221

Cell lengths 5.506, 5.506, 5.506 Å; angles 90.00, 90.00, 90.00 degrees
Fractional coordinates of all 5 atoms:
Y (0.000, 0.000, 0.000)
P (0.500, 0.500, 0.500)
Al (0.000, 0.500, 0.000)
Al (0.000, 0.000, 0.500)
Al (0.500, 0.000, 0.000)

***

Entry 2
Here is an optimized crystal structure of YAl3P from the Alexandria database. Energies are from GGA-PBE.

space group	Pm-3m, No. 221

Cell lengths 4.772, 4.772, 4.772 Å; angles 90.00, 90.00, 90.00 degrees
Fractional coordinates of all 5 atoms:
Y (0.500, 0.500, 0.500)
P (0.000, 0.000, 0.000)
Al (0.000, 0.500, 0.000)
Al (0.000, 0.000, 0.500)
Al (0.500, 0.000, 0.000)

***

Which structure is most stable, and how do the rest compare? From most to least stable: entry 2, entry 1.

***

Entry 1
Here is an optimized crystal structure of AlZnP from the Alexandria database. Energies are from GGA-PBE.

space group	F-43m, No. 216

Cell lengths 4.288, 4.288, 4.288 Å; angles 60.00, 60.00, 60.00 degrees
Fractional coordinates of all 3 atoms:
P (0.750, 0.750, 0.750)
Zn (0.000, 0.000, 0.000)
Al (0.500, 0.500, 0.500)

***

Entry 2
Here is an optimized crystal structure of AlZnP from the Alexandria database. Energies are from GGA-PBE.

space group	P3m1, No. 156

Cell lengths 4.482, 4.482, 2.773 Å; angles 90.00, 90.00, 120.00 degrees
Fractional coordinates of all 3 atoms:
P (0.333, 0.667, 0.332)
Zn (0.667, 0.333, 0.527)
Al (0.000, 0.000, 0.142)

***

Entry 3
Here is an optimized crystal structure of AlZnP from the Alexandria database. Energies are from GGA-PBE.

space group	Cmcm, No. 63

Cell lengths 5.184, 5.184, 6.252 Å; angles 90.00, 90.00, 142.96 degrees
Fractional coordinates of all 6 atoms:
Al (0.373, 0.627, 0.250)
Al (0.627, 0.373, 0.750)
Zn (0.345, 0.655, 0.750)
Zn (0.655, 0.345, 0.250)
P (0.000, 0.000, 0.000)
P (0.000, 0.000, 0.500)

***

Which structure is most stable, and how do the rest compare? From most to least stable: entry 3, entry 1, entry 2.

***

Entry 1
Here is an optimized crystal structure of AlZn3P from the Alexandria database. Energies are from GGA-PBE.

space group	Pm-3m, No. 221

Cell lengths 4.699, 4.699, 4.699 Å; angles 90.00, 90.00, 90.00 degrees
Fractional coordinates of all 5 atoms:
P (0.000, 0.000, 0.000)
Zn (0.000, 0.500, 0.000)
Zn (0.000, 0.000, 0.500)
Zn (0.500, 0.000, 0.000)
Al (0.500, 0.500, 0.500)

***

Entry 2
Here is an optimized crystal structure of AlZn3P from the Alexandria database. Energies are from GGA-PBE.

space group	Pm-3m, No. 221

Cell lengths 4.783, 4.783, 4.783 Å; angles 90.00, 90.00, 90.00 degrees
Fractional coordinates of all 5 atoms:
P (0.500, 0.500, 0.500)
Zn (0.000, 0.500, 0.000)
Zn (0.000, 0.000, 0.500)
Zn (0.500, 0.000, 0.000)
Al (0.000, 0.000, 0.000)

***

Which structure is most stable, and how do the rest compare? From most to least stable: entry 1, entry 2.

***

Entry 1
Here is an optimized crystal structure of Al2Zn2P from the Alexandria database. Energies are from GGA-PBE.

space group	P4/mbm, No. 127

Cell lengths 6.514, 6.514, 4.105 Å; angles 90.00, 90.00, 90.00 degrees
Fractional coordinates of all 10 atoms:
P (0.000, 0.000, 0.000)
P (0.500, 0.500, 0.000)
Zn (0.154, 0.654, 0.500)
Zn (0.654, 0.846, 0.500)
Zn (0.846, 0.346, 0.500)
Zn (0.346, 0.154, 0.500)
Al (0.349, 0.849, 0.000)
Al (0.849, 0.651, 0.000)
Al (0.651, 0.151, 0.000)
Al (0.151, 0.349, 0.000)

***

Entry 2
Here is an optimized crystal structure of Al2Zn2P from the Alexandria database. Energies are from GGA-PBE.

space group	I4/mmm, No. 139

Cell lengths 6.543, 6.543, 6.543 Å; angles 145.83, 145.83, 49.09 degrees
Fractional coordinates of all 5 atoms:
Al (0.250, 0.750, 0.500)
Al (0.750, 0.250, 0.500)
Zn (0.599, 0.599, 0.000)
Zn (0.401, 0.401, 0.000)
P (0.000, 0.000, 0.000)

***

Entry 3
Here is an optimized crystal structure of Al2Zn2P from the Alexandria database. Energies are from GGA-PBE.

space group	P4/mbm, No. 127

Cell lengths 6.601, 6.601, 3.883 Å; angles 90.00, 90.00, 90.00 degrees
Fractional coordinates of all 10 atoms:
P (0.000, 0.000, 0.000)
P (0.500, 0.500, 0.000)
Zn (0.364, 0.864, 0.000)
Zn (0.864, 0.636, 0.000)
Zn (0.636, 0.136, 0.000)
Zn (0.136, 0.364, 0.000)
Al (0.167, 0.667, 0.500)
Al (0.667, 0.833, 0.500)
Al (0.833, 0.333, 0.500)
Al (0.333, 0.167, 0.500)

***

Which structure is most stable, and how do the rest compare? From most to least stable: entry 1, entry 3, entry 2.

***

Entry 1
Here is an optimized crystal structure of Zr2AlP2 from the Alexandria database. Energies are from GGA-PBE.

space group	P4/mbm, No. 127

Cell lengths 7.052, 7.052, 3.493 Å; angles 90.00, 90.00, 90.00 degrees
Fractional coordinates of all 10 atoms:
P (0.358, 0.858, 0.000)
P (0.858, 0.642, 0.000)
P (0.642, 0.142, 0.000)
P (0.142, 0.358, 0.000)
Al (0.000, 0.000, 0.000)
Al (0.500, 0.500, 0.000)
Zr (0.156, 0.656, 0.500)
Zr (0.656, 0.844, 0.500)
Zr (0.844, 0.344, 0.500)
Zr (0.344, 0.156, 0.500)

***

Entry 2
Here is an optimized crystal structure of Zr2AlP2 from the Alexandria database. Energies are from GGA-PBE.

space group	I4/mmm, No. 139

Cell lengths 5.074, 5.074, 5.746 Å; angles 63.80, 63.80, 90.00 degrees
Fractional coordinates of all 5 atoms:
P (0.750, 0.250, 0.500)
P (0.250, 0.750, 0.500)
Al (0.000, 0.000, 0.000)
Zr (0.301, 0.301, 0.398)
Zr (0.699, 0.699, 0.602)

***

Which structure is most stable, and how do the rest compare? From most to least stable: entry 1, entry 2.

***

Entry 1
Here is an optimized crystal structure of Zr2AlP2 from the Alexandria database. Energies are from GGA-PBE.

space group	I4/mmm, No. 139

Cell lengths 5.206, 5.206, 5.206 Å; angles 122.19, 122.19, 86.25 degrees
Fractional coordinates of all 5 atoms:
Zr (0.250, 0.750, 0.500)
Zr (0.750, 0.250, 0.500)
Al (0.000, 0.000, 0.000)
P (0.653, 0.653, 0.000)
P (0.347, 0.347, 0.000)

***

Entry 2
Here is an optimized crystal structure of Zr2AlP2 from the Alexandria database. Energies are from GGA-PBE.

space group	P4/mbm, No. 127

Cell lengths 7.307, 7.307, 3.459 Å; angles 90.00, 90.00, 90.00 degrees
Fractional coordinates of all 10 atoms:
P (0.146, 0.646, 0.500)
P (0.646, 0.854, 0.500)
P (0.854, 0.354, 0.500)
P (0.354, 0.146, 0.500)
Al (0.000, 0.000, 0.000)
Al (0.500, 0.500, 0.000)
Zr (0.348, 0.848, 0.000)
Zr (0.848, 0.652, 0.000)
Zr (0.652, 0.152, 0.000)
Zr (0.152, 0.348, 0.000)

***

Which structure is most stable, and how do the rest compare? From most to least stable: entry 2, entry 1.